Entry 1:
Zn3Pt: optimized geometry, PBE.

As for the density: 10.7 g/cm3. The formation energy comes out at -189 meV per atom. Its final energy is -2.66 eV per atom.

The space group is P-6m2 (No. 187) and the conventional cell measures 2.8947, 2.8947 and 8.3399 Å, with angles of 90.00, 90.00 and 120.00 degrees. The inequivalent atoms are Zn at (0.0000, 0.0000, 0.0000), Zn at (0.3333, 0.6667, 0.2528) and Pt at (0.0000, 0.0000, 0.5000).


Entry 2:
ZnPt: optimized geometry, PBE.

As for the density: 14.3 g/cm3. The formation energy comes out at -282 meV per atom. Its final energy is -3.94 eV per atom.

The space group is P4/nmm (No. 129, origin choice 2) and the conventional cell measures 2.816, 2.816 and 7.629 Å, with angles of 90.00, 90.00 and 90.00 degrees. The inequivalent atoms are Zn at (0.250, 0.250, 0.132) and Pt at (0.250, 0.250, 0.637).


Question: Which of these has the lowest final energy?
Answer: ZnPt


Question: Number 2 is which compound?
Answer: ZnPt


Question: formation energy of number 1 (Zn3Pt)?
Answer: -189 meV per atom